ScSiSb2 after structural relaxation, computed with PBE.

Output
density of states at the Fermi level	0.579	states/eV per atom
E_tot	-5.168	eV per atom
calculated volume	88.29	Å³/f.u.
total moment	0.00	μB per formula unit
ΔE_f (raw)	-168	meV per atom
mass density	5.95	g/cm3

abc: 5.5608 5.5608 5.5608
angles: 140.83 124.13 70.34
Sites, in units of the cell vectors:
1 Sc 0.0000 0.0000 0.0000
2 Si 0.5000 0.5000 0.0000
3 Sb 0.2778 0.7778 0.5000
4 Sb 0.7222 0.2222 0.5000